# 1
# MnRh2Se (PBE, optimized geometry)
# Spin magnetization, μB/f.u.: 3.9
# Formation energy (no corrections), eV/atom: 0.15
# VASP energy, eV/atom: -6.6914
data_MnRh2Se
_symmetry_space_group_name_H-M 'R 3 m'
_symmetry_Int_Tables_number 160
_symmetry_space_group_name_Hall 'R 3 -2"'
_cell_length_a 2.9688
_cell_length_b 2.9688
_cell_length_c 23.9031
_cell_angle_alpha 90.00
_cell_angle_beta 90.00
_cell_angle_gamma 120.00
loop_
_atom_site_label
_atom_site_type_symbol
_atom_site_fract_x
_atom_site_fract_y
_atom_site_fract_z
Mn1 Mn 0.0000 0.0000 0.0000
Rh1 Rh 0.0000 0.0000 0.5053
Rh2 Rh 0.0000 0.0000 0.7460
Se1 Se 0.0000 0.0000 0.2516


# 2
# MnRh2Se (PBE, optimized geometry)
# Spin magnetization, μB/f.u.: 4.7
# Formation energy (no corrections), eV/atom: -0.03
# VASP energy, eV/atom: -6.8676
data_MnRh2Se
_symmetry_space_group_name_H-M 'C m m m'
_symmetry_Int_Tables_number 65
_symmetry_space_group_name_Hall '-C 2 2'
_cell_length_a 5.948
_cell_length_b 6.573
_cell_length_c 3.067
_cell_angle_alpha 90.00
_cell_angle_beta 90.00
_cell_angle_gamma 90.00
loop_
_atom_site_label
_atom_site_type_symbol
_atom_site_fract_x
_atom_site_fract_y
_atom_site_fract_z
Mn1 Mn 0.000 0.000 0.000
Rh1 Rh 0.250 0.250 0.500
Se1 Se 0.000 0.500 0.000


# 3
# MnRh2Se (PBE, optimized geometry)
# Spin magnetization, μB/f.u.: 3.9
# Formation energy (no corrections), eV/atom: 0.10
# VASP energy, eV/atom: -6.7385
data_MnRh2Se
_symmetry_space_group_name_H-M 'C 1 2/m 1'
_symmetry_Int_Tables_number 12
_cell_length_a 5.408
_cell_length_b 8.770
_cell_length_c 3.001
_cell_angle_alpha 90.00
_cell_angle_beta 121.18
_cell_angle_gamma 90.00
loop_
_symmetry_equiv_pos_as_xyz
'x,y,z'
'-x,-y,-z'
'-x,y,-z'
'x,-y,z'
'x+1/2,y+1/2,z'
'-x+1/2,-y+1/2,-z'
'-x+1/2,y+1/2,-z'
'x+1/2,-y+1/2,z'
loop_
_atom_site_label
_atom_site_type_symbol
_atom_site_fract_x
_atom_site_fract_y
_atom_site_fract_z
Mn1 Mn 0.000 0.000 0.000
Rh1 Rh 0.250 0.250 0.500
Se1 Se 0.000 0.500 0.000


# 4
# MnRh5Se8 (PBE, optimized geometry)
# Spin magnetization, μB/f.u.: 2.2
# Formation energy (no corrections), eV/atom: -0.38
# VASP energy, eV/atom: -5.6555
data_MnRh5Se8
_symmetry_space_group_name_H-M 'F -4 3 m'
_symmetry_Int_Tables_number 216
_symmetry_space_group_name_Hall 'F -4 2 3'
_cell_length_a 10.434
_cell_length_b 10.434
_cell_length_c 10.434
_cell_angle_alpha 90.00
_cell_angle_beta 90.00
_cell_angle_gamma 90.00
loop_
_atom_site_label
_atom_site_type_symbol
_atom_site_fract_x
_atom_site_fract_y
_atom_site_fract_z
Mn1 Mn 0.000 0.000 0.000
Rh1 Rh 0.124 0.124 0.376
Rh2 Rh 0.250 0.250 0.750
Se1 Se 0.115 0.115 0.615
Se2 Se 0.135 0.135 0.135


# 5
# MnRh2Se (PBE, optimized geometry)
# Spin magnetization, μB/f.u.: 3.1
# Formation energy (no corrections), eV/atom: 0.15
# VASP energy, eV/atom: -6.6894
data_MnRh2Se
_symmetry_space_group_name_H-M 'F -4 3 m'
_symmetry_Int_Tables_number 216
_symmetry_space_group_name_Hall 'F -4 2 3'
_cell_length_a 6.220
_cell_length_b 6.220
_cell_length_c 6.220
_cell_angle_alpha 90.00
_cell_angle_beta 90.00
_cell_angle_gamma 90.00
loop_
_atom_site_label
_atom_site_type_symbol
_atom_site_fract_x
_atom_site_fract_y
_atom_site_fract_z
Mn1 Mn 0.000 0.000 0.000
Rh1 Rh 0.000 0.000 0.500
Rh2 Rh 0.250 0.250 0.250
Se1 Se 0.250 0.250 0.750


# 6
# Mn3Rh3Se8 (PBE, optimized geometry)
# Spin magnetization, μB/f.u.: 13.1
# Formation energy (no corrections), eV/atom: -0.41
# VASP energy, eV/atom: -5.9405
data_Mn3Rh3Se8
_symmetry_space_group_name_H-M 'R -3 m'
_symmetry_Int_Tables_number 166
_symmetry_space_group_name_Hall '-R 3 2"'
_cell_length_a 7.5396
_cell_length_b 7.5396
_cell_length_c 18.1017
_cell_angle_alpha 90.00
_cell_angle_beta 90.00
_cell_angle_gamma 120.00
loop_
_atom_site_label
_atom_site_type_symbol
_atom_site_fract_x
_atom_site_fract_y
_atom_site_fract_z
Mn1 Mn 0.0000 0.0000 0.0000
Mn2 Mn 0.0000 0.0000 0.3770
Rh1 Rh 0.0000 0.5000 0.5000
Se1 Se 0.0000 0.0000 0.2374
Se2 Se 0.0311 0.5155 0.7552


VASP energy of number 5 (MnRh2Se)? -6.6894 eV/atom


Which formula does entry 6 have? Mn3Rh3Se8


What is the VASP energy in the third record? -6.7385 eV/atom